The following is a DFT calculation (PBE+U) of a relaxed PmNdV2O8 crystal.

Unit cell a=6.162 b=6.162 c=6.162 alpha=106.07 beta=106.07 gamma=116.51
Fractional coordinates of all 12 atoms:
Pm 0.250 0.750 0.500
Nd 0.000 0.000 0.000
V 0.750 0.250 0.500
V 0.500 0.500 0.000
O 0.397 0.077 0.320
O 0.329 0.510 0.181
O 0.329 0.148 0.819
O 0.757 0.077 0.680
O 0.852 0.671 0.181
O 0.923 0.243 0.320
O 0.923 0.603 0.680
O 0.490 0.671 0.819

Properties
Total DFT energy (no corrections) ... -0.2960 Ha/atom
Crystal system ... tetragonal

The following is a DFT calculation (PBE+U) of a relaxed Pm2NdWO8 crystal.

Unit cell a=5.190 b=5.186 c=7.064 alpha=90.00 beta=90.00 gamma=90.44
Fractional coordinates of all 12 atoms:
Pm 0.500 0.500 0.755
Pm 0.500 0.500 0.245
Nd 0.000 0.000 0.500
W 0.000 0.000 0.000
O 0.179 0.819 0.205
O 0.732 0.733 0.000
O 0.821 0.181 0.205
O 0.821 0.181 0.795
O 0.268 0.267 0.000
O 0.179 0.819 0.795
O 0.688 0.689 0.500
O 0.312 0.311 0.500

Properties
Total DFT energy (no corrections) ... -0.2879 Ha/atom
Crystal system ... orthorhombic

no.,total magnetic moment (μB/f.u.)
1,0.00
2,0.95